(1)
InS5Br: optimized geometry, PBE.

Raw formation energy ... -0.170 eV per atom
N(E_F) ... 0.00 states/eV per cell

Cell lengths 4.2430, 7.0512, 8.3515 Å; angles 111.81, 90.36, 103.26 degrees
Atoms (fractional coordinates):
In  0.0000  0.0000  0.0000
S  0.0427  0.5211  0.6636
S  0.4654  0.3826  0.8958
S  0.5822  0.2452  0.0721
S  0.6384  0.2815  0.6618
S  0.8785  0.7808  0.6861
Br  0.9206  0.8898  0.2530



(2)
InSBr2: optimized geometry, PBE.

Raw formation energy ... -0.577 eV per atom

Cell lengths 7.3498, 7.4342, 7.5208 Å; angles 63.24, 60.86, 60.58 degrees
Atoms (fractional coordinates):
In  0.0000  0.0000  0.0000
In  0.2106  0.2015  0.3771
S  0.0016  0.4676  0.1341
S  0.8143  0.7333  0.2430
Br  0.2262  0.8228  0.6586
Br  0.3329  0.9618  0.0702
Br  0.5752  0.2405  0.3063
Br  0.9196  0.3788  0.7185



(3)
InSBr2: optimized geometry, PBE.

Raw formation energy ... -0.371 eV per atom
N(E_F) ... 2.58 states/eV per cell

Cell lengths 6.2029, 6.2029, 6.2029 Å; angles 142.33, 78.16, 114.44 degrees
Atoms (fractional coordinates):
In  0.0000  0.0000  0.0000
S  0.2235  0.7235  0.5000
Br  0.5375  0.7267  0.8108
Br  0.9159  0.7267  0.1892